Computed, not measured: a relaxed TaCo2Pb crystal at the PBE level of DFT.

Computed properties:
The formation energy comes out at 388 meV per atom. As for the total energy: -7.056 eV per atom. The calculated density comes out at 13.63 Mg/m³.

Cell: 5.039 5.039 5.039 Å, 135.64 135.64 64.53°
Fractional positions:
Ta: 0.000 0.000 0.000
Co: 0.250 0.750 0.500
Co: 0.500 0.500 0.000
Pb: 0.750 0.250 0.500